Record 1
A geometry-optimized Mn2HgMo structure. Source: Alexandria, functional PBE.

Lattice parameters (Å, degrees): 4.6558 4.6558 5.2024 83.44 83.44 35.02
Site moments in Bohr magnetons follow the coordinates.
Sites, in units of the cell vectors:
Mo1 0.7500 0.7500 0.7500  -0.46
Mn1 0.5001 0.5001 0.5281  3.13
Mn2 0.9999 0.9999 0.9719  3.13
Hg1 0.2500 0.2500 0.2500  -0.01

Properties
symmetry = C2/m, No. 12
N(E_F) = 0.67 states/eV/atom
total energy = -6.918 eV/atom
formation energy = 0.450 eV/atom

---

Record 2
A geometry-optimized Mn2HgMo structure. Source: Alexandria, functional PBE.

Lattice parameters (Å, degrees): 3.1670 3.1670 6.3198 90.00 90.00 90.00
Site moments in Bohr magnetons follow the coordinates.
Sites, in units of the cell vectors:
Mo1 0.5000 0.5000 0.2500  -0.92
Mn1 0.0000 0.0000 0.4646  2.95
Mn2 0.0000 0.0000 0.0354  2.95
Hg1 0.5000 0.5000 0.7500  -0.04

Properties
symmetry = P4/mmm, No. 123
N(E_F) = 0.79 states/eV/atom
total energy = -7.098 eV/atom
formation energy = 0.270 eV/atom

---

Record 3
A geometry-optimized MnHgMo structure. Source: Alexandria, functional PBE.

Lattice parameters (Å, degrees): 4.5227 4.5227 2.7764 90.00 90.00 120.00
Site moments in Bohr magnetons follow the coordinates.
Sites, in units of the cell vectors:
Mo1 0.3333 0.6667 0.5970  -0.81
Hg1 0.0000 0.0000 0.0625  -0.03
Mn1 0.6667 0.3333 0.3405  2.77

Properties
symmetry = P3m1, No. 156
N(E_F) = 0.60 states/eV/atom
total energy = -6.255 eV/atom
formation energy = 0.513 eV/atom

---

Record 4
A geometry-optimized Mn2HgMo structure. Source: Alexandria, functional PBE.

Lattice parameters (Å, degrees): 2.8044 2.8044 8.4635 90.00 90.00 105.25
Site moments in Bohr magnetons follow the coordinates.
Sites, in units of the cell vectors:
Mo1 0.5000 0.5000 0.2500  -0.54
Hg1 0.5000 0.5000 0.7500  -0.04
Mn1 0.0000 0.0000 0.0214  3.00
Mn2 0.0000 0.0000 0.4786  3.00

Properties
symmetry = Cmmm, No. 65
N(E_F) = 0.93 states/eV/atom
total energy = -7.012 eV/atom
formation energy = 0.356 eV/atom

---

Record 5
A geometry-optimized MnHgMo2 structure. Source: Alexandria, functional PBE.

Lattice parameters (Å, degrees): 4.5364 4.5364 4.5364 60.00 60.00 60.00
Site moments in Bohr magnetons follow the coordinates.
Sites, in units of the cell vectors:
Mn1 0.2500 0.2500 0.2500  3.23
Mo1 0.0000 0.0000 0.0000  -0.43
Hg1 0.5000 0.5000 0.5000  -0.02
Mo2 0.7500 0.7500 0.7500  0.32

Properties
symmetry = F-43m, No. 216
N(E_F) = 0.58 states/eV/atom
total energy = -7.264 eV/atom
formation energy = 0.520 eV/atom

---

Record 6
A geometry-optimized Mn3HgMo structure. Source: Alexandria, functional PBE.

Lattice parameters (Å, degrees): 4.8604 4.8604 4.8604 90.00 90.00 90.00
Site moments in Bohr magnetons follow the coordinates.
Sites, in units of the cell vectors:
Mn1 0.0000 0.0000 0.5000  4.02
Mn2 0.5000 0.0000 0.0000  3.74
Mo1 0.5000 0.5000 0.5000  1.31
Hg1 0.0000 0.0000 0.0000  0.01
Mn3 0.0000 0.5000 0.0000  4.02

Properties
symmetry = Pm-3m, No. 221
N(E_F) = 2.15 states/eV/atom
total energy = -5.808 eV/atom
formation energy = 1.920 eV/atom

---

Record 7
A geometry-optimized Mn2HgMo structure. Source: Alexandria, functional PBE.

Lattice parameters (Å, degrees): 7.0089 7.0089 5.6804 51.91 51.91 90.00
Site moments in Bohr magnetons follow the coordinates.
Sites, in units of the cell vectors:
Mn1 0.8750 0.8406 0.7500  2.67
Mn2 0.5906 0.1250 0.2500  2.67
Mo1 0.5000 0.5000 0.0000  -1.14
Hg1 0.0000 0.0000 0.0000  -0.02
Mn3 0.3750 0.4094 0.7500  2.67
Mo2 0.2500 0.7500 0.5000  -1.14
Mn4 0.1594 0.6250 0.2500  2.67
Hg2 0.7500 0.2500 0.5000  -0.02

Properties
symmetry = I-42d, No. 122
N(E_F) = 1.01 states/eV/atom
total energy = -6.565 eV/atom
formation energy = 0.803 eV/atom

---

Record 8
A geometry-optimized MnHgMo structure. Source: Alexandria, functional PBE.

Lattice parameters (Å, degrees): 6.9728 6.8081 2.8247 81.46 74.92 23.62
Site moments in Bohr magnetons follow the coordinates.
Sites, in units of the cell vectors:
Hg1 0.0040 0.0040 0.9960  -0.01
Mo1 0.3179 0.3179 0.6821  -0.47
Mn1 0.6781 0.6781 0.3219  2.81

Properties
symmetry = Fmm2, No. 42
N(E_F) = 0.73 states/eV/atom
total energy = -6.328 eV/atom
formation energy = 0.440 eV/atom